# 1
The following is a PBE calculation of a geometry-optimized K2TlInPb2 structure, from Alexandria via LeMat-Bulk.

a = 10.016 Å, b = 10.016 Å, c = 10.016 Å
α = 138.24°, β = 60.35°, γ = 138.48°
Fractional coordinates of all 12 atoms:
K: 0.167 0.239 0.406
K: 0.333 0.739 0.072
K: 0.667 0.261 0.928
K: 0.833 0.761 0.594
Tl: 0.250 0.250 0.000
Tl: 0.750 0.750 0.000
In: 0.250 0.750 0.500
In: 0.750 0.250 0.500
Pb: 0.113 0.736 0.849
Pb: 0.387 0.236 0.624
Pb: 0.613 0.764 0.376
Pb: 0.887 0.264 0.151

Properties
Its energy of formation from the pure elements is -0.16 eV per atom. For the size of the total moment, the calculation gives 0.0000 μB/atom. The total energy comes out at -2.614 eV/atom.

# 2
The following is a PBE calculation of a geometry-optimized Tb2HBr structure, from Alexandria via LeMat-Bulk.

a = 7.608 Å, b = 7.608 Å, c = 7.608 Å
α = 27.71°, β = 27.71°, γ = 27.71°
Fractional coordinates of all 4 atoms:
Tb: 0.227 0.227 0.227
Tb: 0.773 0.773 0.773
H: 0.500 0.500 0.500
Br: 0.000 0.000 0.000

Properties
For the size of the total moment, the calculation gives 0.0000 μB/atom. The total energy comes out at -4.292 eV/atom.

# 3
The following is a PBE calculation of a geometry-optimized SrMnAl structure, from Alexandria via LeMat-Bulk.

a = 6.345 Å, b = 6.345 Å, c = 6.345 Å
α = 148.79°, β = 146.94°, γ = 46.10°
Fractional coordinates of all 3 atoms:
Sr: 0.000 0.000 0.000
Mn: 0.289 0.289 0.000
Al: 0.709 0.709 0.000

Properties
Its energy of formation from the pure elements is 0.20 eV per atom. For the size of the total moment, the calculation gives 1.1620 μB/atom. The total energy comes out at -4.664 eV/atom.

# 4
The following is a PBE calculation of a geometry-optimized Ho8NiP3Se4 structure, from Alexandria via LeMat-Bulk.

a = 8.104 Å, b = 8.104 Å, c = 8.104 Å
α = 59.14°, β = 59.14°, γ = 59.14°
Fractional coordinates of all 16 atoms:
Ho: 0.243 0.243 0.243
Ho: 0.248 0.741 0.741
Ho: 0.259 0.259 0.752
Ho: 0.259 0.752 0.259
Ho: 0.741 0.248 0.741
Ho: 0.741 0.741 0.248
Ho: 0.752 0.259 0.259
Ho: 0.757 0.757 0.757
Ni: 0.500 0.500 0.500
P: 0.000 0.000 0.500
P: 0.000 0.500 0.000
P: 0.500 0.000 0.000
Se: 0.000 0.000 0.000
Se: 0.000 0.500 0.500
Se: 0.500 0.000 0.500
Se: 0.500 0.500 0.000

Properties
Its uncorrected formation energy is -1.56 eV/atom. For the size of the total moment, the calculation gives 0.0000 μB/atom. The total energy comes out at -6.098 eV/atom.

# 5
The following is a PBE calculation of a geometry-optimized VFe2Ir2 structure, from Alexandria via LeMat-Bulk.

a = 5.694 Å, b = 5.694 Å, c = 5.694 Å
α = 141.20°, β = 141.20°, γ = 56.04°
Fractional coordinates of all 5 atoms:
V: 0.000 0.000 0.000
Fe: 0.401 0.401 0.000
Fe: 0.599 0.599 0.000
Ir: 0.250 0.750 0.500
Ir: 0.750 0.250 0.500

Properties
Its energy of formation from the pure elements is 0.34 eV per atom. The calculation puts the excess energy over the best structure of this formula in the dataset at 0.3516 eV per atom. For the size of the total moment, the calculation gives 0.0813 μB/atom. The total energy comes out at -8.409 eV/atom.

# 6
The following is a PBE calculation of a geometry-optimized Sm2TmThSb4 structure, from Alexandria via LeMat-Bulk.

a = 7.688 Å, b = 4.457 Å, c = 7.717 Å
α = 90.00°, β = 109.48°, γ = 90.00°
Fractional coordinates of all 8 atoms:
Sm: 0.000 0.000 0.000
Sm: 0.500 0.500 0.000
Tm: 0.000 0.500 0.500
Th: 0.500 0.000 0.500
Sb: 0.243 0.000 0.744
Sb: 0.245 0.500 0.251
Sb: 0.755 0.500 0.749
Sb: 0.757 0.000 0.256

Properties
Its uncorrected formation energy is -1.09 eV/atom. For the size of the total moment, the calculation gives 0.0000 μB/atom. The total energy comes out at -5.821 eV/atom.

# 7
The following is a PBE calculation of a geometry-optimized Ho2CoOs3 structure, from Alexandria via LeMat-Bulk.

a = 5.295 Å, b = 5.295 Å, c = 5.295 Å
α = 59.49°, β = 59.49°, γ = 59.49°
Fractional coordinates of all 6 atoms:
Ho: 0.124 0.124 0.124
Ho: 0.876 0.876 0.876
Co: 0.500 0.500 0.500
Os: 0.000 0.500 0.500
Os: 0.500 0.000 0.500
Os: 0.500 0.500 0.000

Properties
Its energy of formation from the pure elements is -0.31 eV per atom. For the size of the total moment, the calculation gives 0.1009 μB/atom. The total energy comes out at -8.635 eV/atom.

# 8
The following is a PBE calculation of a geometry-optimized La2DyTm5 structure, from Alexandria via LeMat-Bulk.

a = 7.113 Å, b = 7.113 Å, c = 7.113 Å
α = 119.55°, β = 119.55°, γ = 90.77°
Fractional coordinates of all 8 atoms:
La: 0.250 0.250 0.000
La: 0.750 0.750 0.000
Dy: 0.750 0.250 0.500
Tm: 0.250 0.250 0.500
Tm: 0.250 0.750 0.000
Tm: 0.250 0.750 0.500
Tm: 0.750 0.250 0.000
Tm: 0.750 0.750 0.500

Properties
Its energy of formation from the pure elements is 0.04 eV per atom. For the size of the total moment, the calculation gives 0.0000 μB/atom. The total energy comes out at -4.562 eV/atom.

# 9
The following is a PBE calculation of a geometry-optimized Na2TaTcSb structure, from Alexandria via LeMat-Bulk.

a = 5.036 Å, b = 5.036 Å, c = 5.008 Å
α = 90.00°, β = 90.00°, γ = 90.00°
Fractional coordinates of all 5 atoms:
Na: 0.000 0.500 0.000
Na: 0.500 0.000 0.000
Ta: 0.000 0.000 0.500
Tc: 0.500 0.500 0.000
Sb: 0.500 0.500 0.500

Properties
Its uncorrected formation energy is 1.75 eV/atom. For the size of the total moment, the calculation gives 0.0000 μB/atom. The total energy comes out at -4.043 eV/atom.

# 10
The following is a PBE calculation of a geometry-optimized K4RbBi2 structure, from Alexandria via LeMat-Bulk.

a = 12.566 Å, b = 12.566 Å, c = 12.566 Å
α = 28.89°, β = 28.89°, γ = 28.89°
Fractional coordinates of all 7 atoms:
K: 0.078 0.078 0.078
K: 0.299 0.299 0.299
K: 0.701 0.701 0.701
K: 0.922 0.922 0.922
Rb: 0.500 0.500 0.500
Bi: 0.400 0.400 0.400
Bi: 0.600 0.600 0.600

Properties
Its energy of formation from the pure elements is -0.26 eV per atom. For the size of the total moment, the calculation gives 0.1618 μB/atom. The total energy comes out at -2.135 eV/atom.

# 11
The following is a PBE calculation of a geometry-optimized ErSc2Ta structure, from Alexandria via LeMat-Bulk.

a = 10.850 Å, b = 10.850 Å, c = 10.850 Å
α = 16.87°, β = 16.87°, γ = 16.87°
Fractional coordinates of all 4 atoms:
Er: 0.000 0.000 0.000
Sc: 0.242 0.242 0.242
Sc: 0.758 0.758 0.758
Ta: 0.500 0.500 0.500

Properties
Its energy of formation from the pure elements is 0.19 eV per atom. The calculation puts the excess energy over the best structure of this formula in the dataset at 0.0000 eV per atom. For the size of the total moment, the calculation gives 0.0001 μB/atom. The total energy comes out at -7.076 eV/atom.

# 12
The following is a PBE calculation of a geometry-optimized Tb5Dy4Th3 structure, from Alexandria via LeMat-Bulk.

a = 9.333 Å, b = 9.333 Å, c = 8.657 Å
α = 114.30°, β = 114.30°, γ = 35.81°
Fractional coordinates of all 12 atoms:
Tb: 0.000 0.000 0.000
Tb: 0.336 0.336 0.108
Tb: 0.401 0.401 0.558
Tb: 0.599 0.599 0.442
Tb: 0.664 0.664 0.892
Dy: 0.035 0.035 0.699
Dy: 0.212 0.212 0.656
Dy: 0.788 0.788 0.344
Dy: 0.965 0.965 0.301
Th: 0.182 0.182 0.229
Th: 0.500 0.500 0.000
Th: 0.818 0.818 0.771

Properties
Its energy of formation from the pure elements is 0.35 eV per atom. For the size of the total moment, the calculation gives 0.0000 μB/atom. The total energy comes out at -4.965 eV/atom.

# 13
The following is a PBE calculation of a geometry-optimized MnAlBr3 structure, from Alexandria via LeMat-Bulk.

a = 5.263 Å, b = 5.263 Å, c = 5.263 Å
α = 90.00°, β = 90.00°, γ = 90.00°
Fractional coordinates of all 5 atoms:
Mn: 0.000 0.000 0.000
Al: 0.500 0.500 0.500
Br: 0.000 0.500 0.500
Br: 0.500 0.000 0.500
Br: 0.500 0.500 0.000

Properties
Its uncorrected formation energy is -0.09 eV/atom. The calculation puts the excess energy over the best structure of this formula in the dataset at 0.2964 eV per atom. For the size of the total moment, the calculation gives 1.1554 μB/atom. The total energy comes out at -3.679 eV/atom.

# 14
The following is a PBE calculation of a geometry-optimized DyLuHgPd structure, from Alexandria via LeMat-Bulk.

a = 5.064 Å, b = 5.064 Å, c = 5.064 Å
α = 60.00°, β = 60.00°, γ = 60.00°
Fractional coordinates of all 4 atoms:
Dy: 0.000 0.000 0.000
Lu: 0.500 0.500 0.500
Hg: 0.250 0.250 0.250
Pd: 0.750 0.750 0.750

Properties
Its energy of formation from the pure elements is -0.66 eV per atom. For the size of the total moment, the calculation gives 0.0002 μB/atom. The total energy comes out at -4.319 eV/atom.

# 15
The following is a PBE calculation of a geometry-optimized TaOs2Ru structure, from Alexandria via LeMat-Bulk.

a = 4.435 Å, b = 4.435 Å, c = 4.435 Å
α = 60.00°, β = 60.00°, γ = 60.00°
Fractional coordinates of all 4 atoms:
Ta: 0.000 0.000 0.000
Os: 0.250 0.250 0.250
Os: 0.500 0.500 0.500
Ru: 0.750 0.750 0.750

Properties
Its energy of formation from the pure elements is 0.29 eV per atom. The calculation puts the excess energy over the best structure of this formula in the dataset at 0.4492 eV per atom. For the size of the total moment, the calculation gives 0.4387 μB/atom. The total energy comes out at -10.608 eV/atom.

# 16
The following is a PBE calculation of a geometry-optimized Al5Ag7 structure, from Alexandria via LeMat-Bulk.

a = 8.129 Å, b = 3.001 Å, c = 8.401 Å
α = 90.00°, β = 91.29°, γ = 90.00°
Fractional coordinates of all 12 atoms:
Al: 0.000 0.000 0.000
Al: 0.004 0.000 0.334
Al: 0.258 0.500 0.169
Al: 0.506 0.000 0.000
Al: 0.737 0.500 0.507
Ag: 0.240 0.500 0.493
Ag: 0.244 0.500 0.849
Ag: 0.495 0.000 0.670
Ag: 0.501 0.000 0.326
Ag: 0.749 0.500 0.844
Ag: 0.766 0.500 0.179
Ag: 0.987 0.000 0.660

Properties
Its energy of formation from the pure elements is -0.04 eV per atom. The calculation puts the excess energy over the best structure of this formula in the dataset at 0.0114 eV per atom. For the size of the total moment, the calculation gives 0.0000 μB/atom. The total energy comes out at -3.260 eV/atom.

# 17
The following is a PBE calculation of a geometry-optimized NaHoPu2Te4 structure, from Alexandria via LeMat-Bulk.

a = 5.387 Å, b = 5.383 Å, c = 7.640 Å
α = 90.00°, β = 90.12°, γ = 90.00°
Fractional coordinates of all 8 atoms:
Na: 0.000 0.000 0.000
Ho: 0.500 0.500 0.000
Pu: 0.000 0.000 0.500
Pu: 0.500 0.500 0.500
Te: 0.001 0.500 0.747
Te: 0.499 0.000 0.253
Te: 0.501 0.000 0.747
Te: 0.999 0.500 0.253

Properties
Its uncorrected formation energy is -0.98 eV/atom. For the size of the total moment, the calculation gives 1.4714 μB/atom. The total energy comes out at -6.873 eV/atom.

# 18
The following is a PBE calculation of a geometry-optimized LaPm8Er4 structure, from Alexandria via LeMat-Bulk.

a = 10.214 Å, b = 10.214 Å, c = 10.214 Å
α = 42.36°, β = 42.36°, γ = 42.36°
Fractional coordinates of all 13 atoms:
La: 0.000 0.000 0.000
Pm: 0.250 0.250 0.701
Pm: 0.250 0.701 0.250
Pm: 0.281 0.281 0.281
Pm: 0.299 0.750 0.750
Pm: 0.701 0.250 0.250
Pm: 0.719 0.719 0.719
Pm: 0.750 0.299 0.750
Pm: 0.750 0.750 0.299
Er: 0.000 0.000 0.500
Er: 0.000 0.500 0.000
Er: 0.500 0.000 0.000
Er: 0.500 0.500 0.500

Properties
Its energy of formation from the pure elements is 0.17 eV per atom. For the size of the total moment, the calculation gives 0.0001 μB/atom. The total energy comes out at -4.538 eV/atom.

# 19
The following is a PBE calculation of a geometry-optimized YSi2W structure, from Alexandria via LeMat-Bulk.

a = 4.462 Å, b = 4.462 Å, c = 5.353 Å
α = 108.34°, β = 108.34°, γ = 48.01°
Fractional coordinates of all 4 atoms:
Y: 0.000 0.000 0.000
Si: 0.232 0.232 0.651
Si: 0.768 0.768 0.349
W: 0.500 0.500 0.500

Properties
Its uncorrected formation energy is -0.35 eV/atom. The calculation puts the excess energy over the best structure of this formula in the dataset at 0.0000 eV per atom. For the size of the total moment, the calculation gives 0.0000 μB/atom. The total energy comes out at -7.912 eV/atom.

# 20
The following is a PBE calculation of a geometry-optimized CaOsBr2 structure, from Alexandria via LeMat-Bulk.

a = 3.486 Å, b = 3.486 Å, c = 8.480 Å
α = 90.00°, β = 90.00°, γ = 90.00°
Fractional coordinates of all 4 atoms:
Ca: 0.000 0.000 0.000
Os: 0.500 0.500 0.269
Br: 0.000 0.000 0.361
Br: 0.500 0.500 0.804

Properties
Its uncorrected formation energy is -0.02 eV/atom. The calculation puts the excess energy over the best structure of this formula in the dataset at 0.2060 eV per atom. For the size of the total moment, the calculation gives 0.0750 μB/atom. The total energy comes out at -4.169 eV/atom.